Record 1
Material: GdTmThCd
Method: DFT, PBE-GGA
State: relaxed

Properties
The energy of formation comes out at 0.021 eV per atom. The symmetry is F-43m, No. 216.

The structure in POSCAR format:
```
GdTmThCd
1.0
0.000 3.877 3.877
3.877 0.000 3.877
3.877 3.877 0.000
Gd Tm Th Cd
1 1 1 1
Direct
0.000 0.000 0.000
0.250 0.250 0.250
0.500 0.500 0.500
0.750 0.750 0.750
```

***

Record 2
Material: V8B2W
Method: DFT, PBE-GGA
State: relaxed

Properties
The energy of formation comes out at -0.058 eV per atom. The symmetry is C2/m, No. 12.

The structure in POSCAR format:
```
V8B2W
1.0
3.378 -4.859 0.000
3.378 4.859 0.000
-1.098 0.000 4.251
V B W
8 2 1
Direct
0.081 0.335 0.582
0.247 0.753 0.000
0.335 0.081 0.582
0.396 0.396 0.194
0.604 0.604 0.806
0.665 0.919 0.418
0.753 0.247 0.000
0.919 0.665 0.418
0.311 0.689 0.500
0.689 0.311 0.500
0.000 0.000 0.000
```

***

Record 3
Material: LiLa2GaOs
Method: DFT, PBE-GGA
State: relaxed

Properties
The energy of formation comes out at -0.120 eV per atom. The symmetry is P4/mmm, No. 123.

The structure in POSCAR format:
```
LiLa2GaOs
1.0
5.560 0.000 0.000
0.000 5.560 0.000
0.000 0.000 4.939
Li La Ga Os
1 2 1 1
Direct
0.000 0.000 0.000
0.000 0.500 0.500
0.500 0.000 0.500
0.500 0.500 0.000
0.500 0.500 0.500
```